(1)
A plane-wave DFT calculation with PBE was carried out for a relaxed SrHgW2 crystal.

The volume comes out at 20.436 Å³ per atom. As for the total energy: -5.893 eV per atom.

The structure belongs to space group F-43m (No. 216); the cell edges are 6.8893, 6.8893 and 6.8893 Å and the angles 90.00°, 90.00° and 90.00°. The asymmetric unit holds Sr at (0.0000, 0.0000, 0.0000), Hg at (0.2500, 0.2500, 0.2500), W at (0.0000, 0.0000, 0.5000) and W at (0.2500, 0.2500, 0.7500).



(2)
A plane-wave DFT calculation with PBE was carried out for a relaxed ScSbOs crystal.

The volume comes out at 18.864 Å³ per atom. As for the total energy: -7.647 eV per atom.

The structure belongs to space group P-62m (No. 189); the cell edges are 6.9734, 6.9734 and 4.0313 Å and the angles 90.00°, 90.00° and 120.00°. The asymmetric unit holds Sc at (0.0000, 0.5827, 0.0000), Sb at (0.0000, 0.0000, 0.0000), Sb at (0.3333, 0.6667, 0.5000) and Os at (0.0000, 0.2442, 0.5000).



- Which formula does entry 2 have?
  ScSbOs